Entry 1:
A plane-wave DFT calculation with GGA-PBE was carried out for a relaxed structure of MnInSb2Te.

Results
The raw formation energy is 260 meV per atom. The energy above the most stable polymorph in this dataset comes out at 0 meV per atom. As for the density of states at the Fermi level: 4.3 states/eV per cell.

a = 5.1342 Å, b = 5.1342 Å, c = 5.4152 Å
α = 90.00°, β = 90.00°, γ = 90.00°
Last column: magnetic moment on the atom in μB.
Atoms (fractional coordinates):
Mn1 0.0000 0.0000 0.0000  3.00
Te1 0.0000 0.0000 0.5000  0.00
In1 0.5000 0.5000 0.5000  0.02
Sb1 0.0000 0.5000 0.0000  -0.09
Sb2 0.5000 0.0000 0.0000  -0.09

Entry 2:
A plane-wave DFT calculation with GGA-PBE was carried out for a relaxed structure of MnTlIn2Sb.

Results
The raw formation energy is 160 meV per atom. As for the density of states at the Fermi level: 2.4 states/eV per cell.

a = 5.1731 Å, b = 5.1731 Å, c = 5.0330 Å
α = 90.00°, β = 90.00°, γ = 90.00°
Last column: magnetic moment on the atom in μB.
Atoms (fractional coordinates):
Sb1 0.0000 0.0000 0.5000  -0.04
Tl1 0.5000 0.5000 0.5000  0.01
In1 0.5000 0.0000 0.0000  -0.07
Mn1 0.0000 0.0000 0.0000  2.12
In2 0.0000 0.5000 0.0000  -0.07

Entry 3:
A plane-wave DFT calculation with GGA-PBE was carried out for a relaxed structure of Sc2MnIn.

Results
The calculation puts the formation energy at -0.132 eV/atom. As for the density of states at the Fermi level: 4.5 states/eV per cell.

a = 5.2075 Å, b = 5.2075 Å, c = 4.4301 Å
α = 64.83°, β = 64.83°, γ = 50.30°
Last column: magnetic moment on the atom in μB.
Atoms (fractional coordinates):
Sc1 0.4999 0.4999 0.5002  -0.36
Sc2 0.0001 0.0001 0.9998  -0.36
In1 0.2500 0.2500 0.2500  -0.03
Mn1 0.7500 0.7500 0.7500  3.30

Entry 4:
A plane-wave DFT calculation with GGA-PBE was carried out for a relaxed structure of ScMn2In.

Results
The calculation puts the formation energy at -0.044 eV/atom. As for the density of states at the Fermi level: 2.6 states/eV per cell.

a = 3.0694 Å, b = 3.0694 Å, c = 7.3750 Å
α = 90.00°, β = 90.00°, γ = 90.00°
Last column: magnetic moment on the atom in μB.
Atoms (fractional coordinates):
Sc1 0.0000 0.0000 0.4641  0.39
In1 0.5000 0.5000 0.7832  -0.06
Mn1 0.0000 0.0000 0.0447  3.04
Mn2 0.5000 0.5000 0.2081  -2.46

Entry 5:
A plane-wave DFT calculation with GGA-PBE was carried out for a relaxed structure of Sc3MnIn.

Results
The calculation puts the formation energy at 1.270 eV/atom. The energy above the most stable polymorph in this dataset comes out at 1188 meV per atom. As for the density of states at the Fermi level: 10.6 states/eV per cell.

a = 5.2668 Å, b = 5.2668 Å, c = 5.2668 Å
α = 90.00°, β = 90.00°, γ = 90.00°
Last column: magnetic moment on the atom in μB.
Atoms (fractional coordinates):
Sc1 0.5000 0.0000 0.0000  -0.29
In1 0.0000 0.0000 0.0000  -0.08
Sc2 0.0000 0.5000 0.0000  -0.24
Sc3 0.0000 0.0000 0.5000  -0.15
Mn1 0.5000 0.5000 0.5000  0.43

Entry 6:
A plane-wave DFT calculation with GGA-PBE was carried out for a relaxed structure of ScMn2In.

Results
The calculation puts the formation energy at 0.101 eV/atom. As for the density of states at the Fermi level: 3.2 states/eV per cell.

a = 4.6389 Å, b = 4.6389 Å, c = 3.1965 Å
α = 89.99°, β = 89.99°, γ = 90.04°
Last column: magnetic moment on the atom in μB.
Atoms (fractional coordinates):
Sc1 0.5000 0.0000 0.5000  -0.48
In1 0.0000 0.5000 0.5000  -0.11
Mn1 0.5000 0.5000 0.0000  2.95
Mn2 0.0000 0.0000 0.0000  2.95

Q: Number 2 is which compound?
A: MnTlIn2Sb